# 1
First-principles (GGA-PBE) data for an optimized crystal structure of Zr2HPd, as listed in the Alexandria database.

* excess energy over the best structure of this formula in the dataset: 0.428 eV/atom

```
data_Zr2HPd
_symmetry_space_group_name_H-M 'F m -3 m'
_symmetry_Int_Tables_number 225
_symmetry_space_group_name_Hall '-F 4 2 3'
_cell_length_a 6.4594
_cell_length_b 6.4594
_cell_length_c 6.4594
_cell_angle_alpha 90.00
_cell_angle_beta 90.00
_cell_angle_gamma 90.00
loop_
_atom_site_label
_atom_site_type_symbol
_atom_site_fract_x
_atom_site_fract_y
_atom_site_fract_z
_atom_site_occupancy
Zr1 Zr 0.2500 0.2500 0.2500 1
H1 H 0.0000 0.0000 0.0000 1
Pd1 Pd 0.0000 0.0000 0.5000 1
```

=====

# 2
First-principles (GGA-PBE) data for an optimized crystal structure of Zr2HPd2, as listed in the Alexandria database.

* excess energy over the best structure of this formula in the dataset: 0.478 eV/atom

```
data_Zr2HPd2
_symmetry_space_group_name_H-M 'I 4/m m m'
_symmetry_Int_Tables_number 139
_symmetry_space_group_name_Hall '-I 4 2'
_cell_length_a 3.6383
_cell_length_b 3.6383
_cell_length_c 14.1683
_cell_angle_alpha 90.00
_cell_angle_beta 90.00
_cell_angle_gamma 90.00
loop_
_atom_site_label
_atom_site_type_symbol
_atom_site_fract_x
_atom_site_fract_y
_atom_site_fract_z
_atom_site_occupancy
Zr1 Zr 0.0000 0.0000 0.1027 1
H1 H 0.0000 0.0000 0.5000 1
Pd1 Pd 0.0000 0.5000 0.2500 1
```

=====

# 3
First-principles (GGA-PBE) data for an optimized crystal structure of Zr2HPd, as listed in the Alexandria database.

* excess energy over the best structure of this formula in the dataset: 0.159 eV/atom

```
data_Zr2HPd
_symmetry_space_group_name_H-M 'R -3 m'
_symmetry_Int_Tables_number 166
_symmetry_space_group_name_Hall '-R 3 2"'
_cell_length_a 3.0912
_cell_length_b 3.0912
_cell_length_c 22.3294
_cell_angle_alpha 90.00
_cell_angle_beta 90.00
_cell_angle_gamma 120.00
loop_
_atom_site_label
_atom_site_type_symbol
_atom_site_fract_x
_atom_site_fract_y
_atom_site_fract_z
_atom_site_occupancy
Zr1 Zr 0.0000 0.0000 0.2300 1
H1 H 0.0000 0.0000 0.5000 1
Pd1 Pd 0.0000 0.0000 0.0000 1
```

=====

# 4
First-principles (GGA-PBE) data for an optimized crystal structure of Zr5H12Pd2, as listed in the Alexandria database.

* E: -199.47 eV per cell

```
data_Zr5H12Pd2
_symmetry_space_group_name_H-M 'C 1 2/m 1'
_symmetry_Int_Tables_number 12
_cell_length_a 9.9877
_cell_length_b 5.6861
_cell_length_c 6.5422
_cell_angle_alpha 90.00
_cell_angle_beta 101.27
_cell_angle_gamma 90.00
loop_
_symmetry_equiv_pos_as_xyz
'x,y,z'
'-x,-y,-z'
'-x,y,-z'
'x,-y,z'
'x+1/2,y+1/2,z'
'-x+1/2,-y+1/2,-z'
'-x+1/2,y+1/2,-z'
'x+1/2,-y+1/2,z'
loop_
_atom_site_label
_atom_site_type_symbol
_atom_site_fract_x
_atom_site_fract_y
_atom_site_fract_z
_atom_site_occupancy
Zr1 Zr 0.0000 0.0000 0.0000 1
Zr2 Zr 0.1761 0.5000 0.8596 1
Zr3 Zr 0.2222 0.5000 0.3380 1
H1 H 0.0163 0.5000 0.3155 1
H2 H 0.0543 0.0000 0.6891 1
H3 H 0.1620 0.2520 0.0938 1
H4 H 0.1947 0.3184 0.5996 1
Pd1 Pd 0.0000 0.2385 0.5000 1
```

=====

# 5
First-principles (GGA-PBE) data for an optimized crystal structure of ZrH2Pd8, as listed in the Alexandria database.

* E: -116.86 eV per cell

```
data_ZrH2Pd8
_symmetry_space_group_name_H-M 'C 1 2/m 1'
_symmetry_Int_Tables_number 12
_cell_length_a 10.5686
_cell_length_b 7.2576
_cell_length_c 4.2883
_cell_angle_alpha 90.00
_cell_angle_beta 100.03
_cell_angle_gamma 90.00
loop_
_symmetry_equiv_pos_as_xyz
'x,y,z'
'-x,-y,-z'
'-x,y,-z'
'x,-y,z'
'x+1/2,y+1/2,z'
'-x+1/2,-y+1/2,-z'
'-x+1/2,y+1/2,-z'
'x+1/2,-y+1/2,z'
loop_
_atom_site_label
_atom_site_type_symbol
_atom_site_fract_x
_atom_site_fract_y
_atom_site_fract_z
_atom_site_occupancy
Zr1 Zr 0.0000 0.0000 0.0000 1
H1 H 0.2417 0.5000 0.2938 1
Pd1 Pd 0.0704 0.5000 0.2738 1
Pd2 Pd 0.1314 0.1865 0.5914 1
Pd3 Pd 0.2406 0.5000 0.8572 1
```

=====

# 6
First-principles (GGA-PBE) data for an optimized crystal structure of Zr2HPd, as listed in the Alexandria database.

* excess energy over the best structure of this formula in the dataset: 0.000 eV/atom

```
data_Zr2HPd
_symmetry_space_group_name_H-M 'C 1 2/m 1'
_symmetry_Int_Tables_number 12
_cell_length_a 13.2989
_cell_length_b 3.3232
_cell_length_c 6.3532
_cell_angle_alpha 90.00
_cell_angle_beta 111.17
_cell_angle_gamma 90.00
loop_
_symmetry_equiv_pos_as_xyz
'x,y,z'
'-x,-y,-z'
'-x,y,-z'
'x,-y,z'
'x+1/2,y+1/2,z'
'-x+1/2,-y+1/2,-z'
'-x+1/2,y+1/2,-z'
'x+1/2,-y+1/2,z'
loop_
_atom_site_label
_atom_site_type_symbol
_atom_site_fract_x
_atom_site_fract_y
_atom_site_fract_z
_atom_site_occupancy
Zr1 Zr 0.0291 0.0000 0.2852 1
Zr2 Zr 0.2068 0.5000 0.6756 1
H1 H 0.1039 0.0000 0.6225 1
Pd1 Pd 0.1225 0.5000 0.0625 1
```

=====

# 7
First-principles (GGA-PBE) data for an optimized crystal structure of Zr2H3Pd, as listed in the Alexandria database.

* E: -69.05 eV per cell

```
data_Zr2H3Pd
_symmetry_space_group_name_H-M 'I 4/m m m'
_symmetry_Int_Tables_number 139
_symmetry_space_group_name_Hall '-I 4 2'
_cell_length_a 3.0860
_cell_length_b 3.0860
_cell_length_c 14.0834
_cell_angle_alpha 90.00
_cell_angle_beta 90.00
_cell_angle_gamma 90.00
loop_
_atom_site_label
_atom_site_type_symbol
_atom_site_fract_x
_atom_site_fract_y
_atom_site_fract_z
_atom_site_occupancy
Zr1 Zr 0.0000 0.0000 0.1516 1
H1 H 0.0000 0.0000 0.0000 1
H2 H 0.0000 0.5000 0.2500 1
Pd1 Pd 0.0000 0.0000 0.5000 1
```

=====

# 8
First-principles (GGA-PBE) data for an optimized crystal structure of Zr4HPd, as listed in the Alexandria database.

* E: -172.86 eV per cell

```
data_Zr4HPd
_symmetry_space_group_name_H-M 'I 41/a m d'
_symmetry_Int_Tables_number 141
_cell_length_a 8.5332
_cell_length_b 8.5332
_cell_length_c 6.6638
_cell_angle_alpha 90.00
_cell_angle_beta 90.00
_cell_angle_gamma 90.00
loop_
_symmetry_equiv_pos_as_xyz
'x,y,z'
'-x,-y,-z'
'-y+1/4,x+3/4,z+1/4'
'y+1/4,-x+3/4,-z+1/4'
'-x+1/2,-y,z+1/2'
'x+1/2,y,-z+1/2'
'y+1/4,-x+1/4,z+3/4'
'-y+1/4,x+1/4,-z+3/4'
'x,-y,-z'
'-x,y,z'
'-y+1/4,-x+1/4,-z+3/4'
'y+1/4,x+1/4,z+3/4'
'-x+1/2,y,-z+1/2'
'x+1/2,-y,z+1/2'
'y+1/4,x+3/4,-z+1/4'
'-y+1/4,-x+3/4,z+1/4'
'x+1/2,y+1/2,z+1/2'
'-x+1/2,-y+1/2,-z+1/2'
'-y+3/4,x+1/4,z+3/4'
'y+3/4,-x+1/4,-z+3/4'
'-x,-y+1/2,z'
'x,y+1/2,-z'
'y+3/4,-x+3/4,z+1/4'
'-y+3/4,x+3/4,-z+1/4'
'x+1/2,-y+1/2,-z+1/2'
'-x+1/2,y+1/2,z+1/2'
'-y+3/4,-x+3/4,-z+1/4'
'y+3/4,x+3/4,z+1/4'
'-x,y+1/2,-z'
'x,-y+1/2,z'
'y+3/4,x+1/4,-z+3/4'
'-y+3/4,-x+1/4,z+3/4'
loop_
_atom_site_label
_atom_site_type_symbol
_atom_site_fract_x
_atom_site_fract_y
_atom_site_fract_z
_atom_site_occupancy
Zr1 Zr 0.0000 0.0443 0.2375 1
H1 H 0.0000 0.2500 0.3750 1
Pd1 Pd 0.0000 0.2500 0.8750 1
```

=====

For each record above, in turn, the calculated spin magnetization values are 0.00, 1.63, 0.00, 0.00, 0.00, 0.00, 0.00, 0.00 μB per cell.